Record 1
BaZn2Co2 | PBE-GGA | relaxed

```
BaZn2Co2
1.0
-2.623 -3.540 -0.172
2.114 -1.735 3.458
-3.468 -0.406 4.728
Ba Zn Co
1 2 2
direct
0.000 0.000 0.000 Ba
0.250 0.750 0.500 Zn
0.750 0.250 0.500 Zn
0.385 0.385 0.229 Co
0.615 0.615 0.771 Co
```

Energy of formation from the pure elements: 202 meV/atom
Polymorph energy (0 for the lowest one): 0.000 eV per atom
Space-group type: I4/mmm

=====

Record 2
CaAc2NpO8 | PBE-GGA | relaxed

```
CaAc2NpO8
1.0
-0.761 4.137 -0.627
-3.890 -1.791 -3.523
-5.293 -0.082 5.885
O Np Ac Ca
8 1 2 1
direct
0.505 0.774 0.500 O
0.495 0.226 0.500 O
0.572 0.786 0.000 O
0.959 0.229 0.797 O
0.428 0.214 0.000 O
0.959 0.229 0.203 O
0.041 0.771 0.797 O
0.041 0.771 0.203 O
0.000 0.000 0.000 Np
0.500 0.500 0.246 Ac
0.500 0.500 0.754 Ac
0.000 0.000 0.500 Ca
```

Space-group type: P2/m

=====

Record 3
Zr2BeIr | PBE-GGA | relaxed

```
Zr2BeIr
1.0
4.111 0.000 0.000
0.000 5.065 -1.600
0.000 0.162 6.765
Be Ir Zr
2 2 4
direct
0.250 0.362 0.206 Be
0.750 0.638 0.794 Be
0.750 0.656 0.280 Ir
0.250 0.344 0.720 Ir
0.750 0.224 0.437 Zr
0.250 0.776 0.563 Zr
0.750 0.204 0.933 Zr
0.250 0.796 0.067 Zr
```

Energy of formation from the pure elements: -531 meV/atom
Space-group type: P2_1/m

=====

Record order is preserved below.
Raw total energy: -17.67, -96.99, -63.61 eV for the cell shown
Record order is preserved below.
Mass density: 6.6, 7.7, 9.0 g cm⁻³